DFT (PBE with a Hubbard U) results for crystalline WN3F6 at its relaxed geometry.

- Total DFT energy (no corrections): -46.25 eV/f.u.
- Density of states at the Fermi level: 0.00 states/eV/cell

Cell lengths 6.909, 6.909, 6.909 Å; angles 60.00, 60.00, 60.00 degrees
Fractional positions:
W: 0.000 0.000 0.000
N: 0.250 0.250 0.250
N: 0.500 0.500 0.500
N: 0.750 0.750 0.750
F: 0.192 0.192 0.808
F: 0.192 0.808 0.192
F: 0.192 0.808 0.808
F: 0.808 0.192 0.192
F: 0.808 0.192 0.808
F: 0.808 0.808 0.192